The following is a PBE calculation of a relaxed structure of Nd6Er12Tm, from the Alexandria database.

```
Nd6Er12Tm
1.0
5.527 3.191 5.830
-5.527 3.191 5.830
0.000 -6.383 5.830
Nd Er Tm
6 12 1
Direct
0.267 0.267 0.663 Nd
0.267 0.663 0.267 Nd
0.337 0.733 0.733 Nd
0.663 0.267 0.267 Nd
0.733 0.337 0.733 Nd
0.733 0.733 0.337 Nd
0.013 0.013 0.695 Er
0.013 0.695 0.013 Er
0.014 0.363 0.363 Er
0.305 0.987 0.987 Er
0.363 0.014 0.363 Er
0.363 0.363 0.014 Er
0.637 0.637 0.986 Er
0.637 0.986 0.637 Er
0.695 0.013 0.013 Er
0.986 0.637 0.637 Er
0.987 0.305 0.987 Er
0.987 0.987 0.305 Er
0.500 0.500 0.500 Tm
```

E above lowest polymorph (meV per atom): 0
Total magnetization (μB/atom): 0.0000

The following is a PBE calculation of a relaxed structure of Cs3KBa, from the Alexandria database.

```
Cs3KBa
1.0
8.158 0.000 0.000
0.000 8.158 0.000
0.000 0.000 8.158
Cs K Ba
3 1 1
Direct
0.000 0.000 0.500 Cs
0.000 0.500 0.000 Cs
0.500 0.000 0.000 Cs
0.000 0.000 0.000 K
0.500 0.500 0.500 Ba
```

Raw total energy (eV/atom): -0.821
Total magnetization (μB/atom): 0.0000

The following is a PBE calculation of a relaxed structure of K2ThTlTe4, from the Alexandria database.

```
K2ThTlTe4
1.0
8.249 0.000 0.000
0.000 4.592 0.000
-2.676 0.000 8.217
K Th Tl Te
2 1 1 4
Direct
0.000 0.000 0.000 K
0.500 0.500 0.000 K
0.000 0.500 0.500 Th
0.500 0.000 0.500 Tl
0.223 0.000 0.716 Te
0.249 0.500 0.289 Te
0.751 0.500 0.711 Te
0.777 0.000 0.284 Te
```

Raw formation energy (eV per atom): -0.9369
Total magnetization (μB/atom): 0.0000

The following is a PBE calculation of a relaxed structure of LaCd12, from the Alexandria database.

```
LaCd12
1.0
-5.005 5.005 3.013
5.005 -5.005 3.013
5.005 5.005 -3.013
La Cd
1 12
Direct
0.000 0.000 0.000 La
0.000 0.000 0.500 Cd
0.000 0.352 0.352 Cd
0.000 0.500 0.000 Cd
0.000 0.648 0.648 Cd
0.286 0.500 0.786 Cd
0.352 0.000 0.352 Cd
0.500 0.000 0.000 Cd
0.500 0.286 0.786 Cd
0.500 0.500 0.500 Cd
0.500 0.714 0.214 Cd
0.648 0.000 0.648 Cd
0.714 0.500 0.214 Cd
```

Raw total energy (eV/atom): -1.364
Total magnetization (μB/atom): 0.0000